The following is a PBE calculation of a relaxed structure of Tb4Zn3, from Alexandria.

Properties
- calculated formation energy (eV per atom) = -0.093
- volume (Å³ per atom) = 26.44
- density of states at the Fermi level (states/eV per cell) = 28.57
- total energy (eV per atom) = -3.28

abc: 4.9779 4.9779 25.8765
angles: 90.00 90.00 120.00
Closest atoms and distances in Å follow each position.
Space group R-3m (No. 166, hexagonal axes)
Inequivalent atoms, fractional coordinates:
Tb: 0.0000 0.0000 0.1243  6 Zn 3.08-3.17
Tb: 0.0000 0.0000 0.2922  4 Zn 2.95-2.99
Zn: 0.0000 0.0000 0.4061  1 Zn 2.43
Zn: 0.0000 0.0000 0.5000  2 Zn 2.43

The following is a PBE calculation of a relaxed structure of TbZrZn6, from Alexandria.

Properties
- calculated formation energy (eV per atom) = -0.282
- volume (Å³ per atom) = 17.57
- density of states at the Fermi level (states/eV per cell) = 6.83
- total energy (eV per atom) = -2.88

abc: 4.4156 6.0746 10.4826
angles: 90.00 90.00 90.00
Closest atoms and distances in Å follow each position.
Space group Amm2 (No. 38)
Inequivalent atoms, fractional coordinates:
Tb: 0.0000 0.0000 0.0000  12 Zn 2.92-3.04
Zr: 0.5000 0.0000 0.6694  12 Zn 2.87-3.04
Zn: 0.0000 0.0000 0.4941  6 Zn 2.74-2.88, 2 Zr 2.87, 2 Tb 3.04
Zn: 0.0000 0.2349 0.2552  6 Zn 2.74-2.88, 2 Zr 2.88, 2 Tb 3.03
Zn: 0.5000 0.0000 0.1824  6 Zn 2.74-2.76, 2 Tb 2.92, 2 Zr 3.04
Zn: 0.5000 0.2260 0.4110  6 Zn 2.74-2.76, 2 Tb 2.92, 2 Zr 3.03-3.04

The following is a PBE calculation of a relaxed structure of Tb4ZrZn5, from Alexandria.

Properties
- calculated formation energy (eV per atom) = -0.307
- volume (Å³ per atom) = 22.04
- density of states at the Fermi level (states/eV per cell) = 11.64
- total energy (eV per atom) = -3.65

abc: 3.5396 3.5396 17.5879
angles: 90.00 90.00 90.00
Closest atoms and distances in Å follow each position.
Space group P4/mmm (No. 123)
Inequivalent atoms, fractional coordinates:
Tb: 0.0000 0.0000 0.1036  8 Zn 3.09-3.10
Tb: 0.0000 0.0000 0.3091  8 Zn 3.08-3.12, 1 Zr 3.36
Zr: 0.0000 0.0000 0.5000  8 Zn 2.92
Zn: 0.5000 0.5000 0.0000  8 Tb 3.10
Zn: 0.5000 0.5000 0.2065  8 Tb 3.08-3.09
Zn: 0.5000 0.5000 0.4146  4 Zr 2.92, 1 Zn 3.00, 4 Tb 3.12

The following is a PBE calculation of a relaxed structure of TbZrZn17, from Alexandria.

Properties
- calculated formation energy (eV per atom) = -0.182
- volume (Å³ per atom) = 15.70
- density of states at the Fermi level (states/eV per cell) = 13.56
- total energy (eV per atom) = -2.02

abc: 8.8962 8.8962 13.0590
angles: 90.00 90.00 120.00
Closest atoms and distances in Å follow each position.
Space group R3m (No. 160, hexagonal axes)
Inequivalent atoms, fractional coordinates:
Tb: 0.0000 0.0000 0.0000  19 Zn 3.13-3.40
Zr: 0.0000 0.0000 0.3331  13 Zn 2.97-3.22
Zn: 0.0000 0.0000 0.5603  7 Zn 2.61-2.76
Zn: 0.0000 0.0000 0.7605  4 Zn 2.61-2.68
Zn: 0.9997 0.4999 0.8149  9 Zn 2.52-2.76
Zn: 0.0348 0.3655 0.3317  8 Zn 2.56-2.76
Zn: 0.1710 0.3420 0.5002  10 Zn 2.56-2.75
Zn: 0.1781 0.3561 0.8462  8 Zn 2.52-2.76